# 1
Density functional theory data (GGA-PBE) for an optimized crystal structure of MgAs2Cl.

ΔE to the lowest computed polymorph ... 695 meV/atom
Formation energy (no corrections) ... 100.4 meV per atom
Total magnetization ... 0.00 μB/f.u.
VASP energy ... -12.339 eV/f.u.

Geometry as POSCAR:
```
MgAs2Cl
1.0
5.088 0.000 0.000
0.000 5.088 0.000
0.000 0.000 3.084
Cl As Mg
1 2 1
Direct
0.500 0.000 0.500 Cl
0.000 0.000 0.000 As
0.500 0.500 0.000 As
0.000 0.500 0.500 Mg
```

# 2
Density functional theory data (GGA-PBE) for an optimized crystal structure of Cr2GeI.

ΔE to the lowest computed polymorph ... 182 meV/atom
Formation energy (no corrections) ... 782.8 meV per atom
Total magnetization ... 2.79 μB/f.u.
VASP energy ... -22.283 eV/f.u.

Geometry as POSCAR:
```
Cr2GeI
1.0
-1.167 -1.307 4.113
-1.969 2.887 2.788
-4.318 -0.495 1.047
Cr I Ge
2 1 1
Direct
0.250 0.250 0.250 Cr
0.750 0.750 0.750 Cr
0.500 0.500 0.500 I
0.000 0.000 0.000 Ge
```

# 3
Density functional theory data (GGA-PBE) for an optimized crystal structure of TaCoSi2As.

Formation energy (no corrections) ... 301.3 meV per atom
Total magnetization ... 0.00 μB/f.u.
VASP energy ... -32.948 eV/f.u.

Geometry as POSCAR:
```
TaCoSi2As
1.0
-0.354 3.586 -2.135
-0.933 -2.498 -4.040
-4.095 0.116 0.874
Si As Ta Co
2 1 1 1
Direct
0.500 0.000 0.000 Si
0.000 0.000 0.500 Si
0.500 0.500 0.500 As
0.000 0.500 0.000 Ta
0.000 0.000 0.000 Co
```

# 4
Density functional theory data (GGA-PBE) for an optimized crystal structure of VCCl3.

ΔE to the lowest computed polymorph ... 320 meV/atom
Formation energy (no corrections) ... 1008.2 meV per atom
Total magnetization ... 3.84 μB/f.u.
VASP energy ... -18.841 eV/f.u.

Geometry as POSCAR:
```
VCCl3
1.0
4.468 0.000 0.000
0.000 4.468 0.000
0.000 0.000 4.468
Cl C V
3 1 1
Direct
0.000 0.000 0.500 Cl
0.000 0.500 0.000 Cl
0.500 0.000 0.000 Cl
0.000 0.000 0.000 C
0.500 0.500 0.500 V
```

# 5
Density functional theory data (GGA-PBE) for an optimized crystal structure of MgNiTe.

Formation energy (no corrections) ... -351.7 meV per atom
Total magnetization ... 0.00 μB/f.u.
VASP energy ... -11.573 eV/f.u.

Geometry as POSCAR:
```
MgNiTe
1.0
-3.844 -1.033 1.791
-3.398 -1.040 -2.556
2.861 -6.296 2.526
Ni Te Mg
2 2 2
Direct
0.232 0.584 0.243 Ni
0.492 0.072 0.482 Ni
0.111 0.834 0.624 Te
0.614 0.822 0.101 Te
0.362 0.328 0.862 Mg
0.862 0.328 0.362 Mg
```

# 6
Density functional theory data (GGA-PBE) for an optimized crystal structure of Cs2CN2.

Formation energy (no corrections) ... -453.9 meV per atom
Total magnetization ... 0.00 μB/f.u.
VASP energy ... -29.851 eV/f.u.

Geometry as POSCAR:
```
Cs2CN2
1.0
-0.550 -4.959 0.204
10.538 1.544 4.804
-10.732 1.210 0.501
N Cs C
4 4 2
Direct
0.334 0.176 0.839 N
0.157 0.824 0.661 N
0.666 0.824 0.161 N
0.843 0.176 0.339 N
0.623 0.752 0.379 Cs
0.377 0.248 0.621 Cs
0.130 0.752 0.879 Cs
0.870 0.248 0.121 Cs
0.246 0.000 0.750 C
0.754 0.000 0.250 C
```

# 7
Density functional theory data (GGA-PBE) for an optimized crystal structure of PmGd2Ag.

ΔE to the lowest computed polymorph ... 0 meV/atom
ΔE_f ... -0.129 eV/atom
Total magnetization ... 15.03 μB/f.u.
VASP energy ... -36.278 eV/f.u.

Geometry as POSCAR:
```
PmGd2Ag
1.0
3.649 0.000 0.000
0.000 3.649 0.000
0.000 0.000 8.793
Ag Gd Pm
1 2 1
Direct
0.500 0.500 0.500 Ag
0.000 0.000 0.289 Gd
0.000 0.000 0.711 Gd
0.500 0.500 0.000 Pm
```

# 8
Density functional theory data (GGA-PBE) for an optimized crystal structure of MnTe8.

Formation energy (no corrections) ... 133.0 meV per atom
Total magnetization ... 3.18 μB/f.u.
VASP energy ... -33.106 eV/f.u.

Geometry as POSCAR:
```
MnTe8
1.0
-6.418 6.418 2.174
6.418 -6.418 2.174
6.418 6.418 -2.174
Te Mn
8 1
Direct
0.000 0.204 0.204 Te
0.318 0.318 0.636 Te
0.682 0.318 0.000 Te
0.682 0.682 0.364 Te
0.000 0.796 0.796 Te
0.204 0.000 0.204 Te
0.796 0.000 0.796 Te
0.318 0.682 0.000 Te
0.000 0.000 0.000 Mn
```